[1]
# ZrAlNi2

Crystalline ZrAlNi2 at its relaxed geometry (PBE, OQMD via LeMat-Bulk).

POSCAR file:
```
ZrAlNi2
1.0
2.907 0.000 0.000
0.000 2.907 0.000
0.000 0.000 6.671
Zr Al Ni
1 1 2
Direct
0.000 0.000 0.000 Zr
0.000 0.000 0.500 Al
0.500 0.500 0.288 Ni
0.500 0.500 0.712 Ni
```

Values from the calculation:
VASP energy	-6.35	eV per atom
symmetry	P4/mmm (123)


[2]
# NpAl3

Crystalline NpAl3 at its relaxed geometry (PBE, OQMD via LeMat-Bulk).

POSCAR file:
```
NpAl3
1.0
6.688 0.000 0.000
0.000 6.688 0.000
0.000 0.000 6.688
Np Al
4 12
Direct
0.000 0.000 0.000 Np
0.000 0.500 0.500 Np
0.500 0.000 0.500 Np
0.500 0.500 0.000 Np
0.000 0.000 0.500 Al
0.000 0.500 0.000 Al
0.250 0.250 0.250 Al
0.250 0.250 0.750 Al
0.250 0.750 0.250 Al
0.250 0.750 0.750 Al
0.500 0.000 0.000 Al
0.500 0.500 0.500 Al
0.750 0.250 0.250 Al
0.750 0.250 0.750 Al
0.750 0.750 0.250 Al
0.750 0.750 0.750 Al
```

Values from the calculation:
VASP energy	-5.96	eV per atom
symmetry	Fm-3m (225)


The records above yield magnetic moment values of 0.05 16.07 μB per cell, respectively.